A plane-wave DFT calculation with PBE was carried out for an optimized crystal structure of Cr2GaAg2S6.

Cell: 6.1655 10.2365 7.5799 Å, 90.00 106.09 90.00°
With the nearest neighbours (Å) after each atom.
Space group C2/m (No. 12)
Unique sites:
Cr  0.0000  0.1485  0.0000 [4 per cell]  6 S 2.31-2.45
Ga  0.0000  0.5000  0.0000 [2 per cell]  6 S 2.42-2.51
Ag  0.0000  0.3293  0.5000 [4 per cell]  2 S 2.38
S  0.0981  0.0000  0.8055 [4 per cell]  2 Cr 2.31, 1 Ga 2.51
S  0.1117  0.3265  0.8265 [8 per cell]  1 Ag 2.38, 2 Cr 2.40-2.45, 1 Ga 2.42

Output
**ΔE_f (raw)**: -42.62 kJ per mole of atoms
**DFT total energy**: -115.20 eV per cell
**N(E_F)**: 3.397 states/eV/cell
**Crystal system**: monoclinic